Density functional theory data (GGA-PBE) for a geometry-optimized Mg2AlPt structure.

The space group is P4/mmm (No. 123) and the conventional cell measures 3.017, 3.017 and 7.761 Å, with angles of 90.00, 90.00 and 90.00 degrees. The inequivalent atoms are Mg at (0.000, 0.000, 0.221), Al at (0.500, 0.500, 0.500) and Pt at (0.500, 0.500, 0.000).

Its total energy is -3.70 eV/atom. The calculation puts the density of states at the Fermi level at 0.28 states/eV per atom. The formation energy from the elements is -458.3 meV per atom.

=====

Density functional theory data (GGA-PBE) for a geometry-optimized Ca5Te6Pb structure.

The space group is C2/m (No. 12) and the conventional cell measures 7.877, 13.644 and 7.874 Å, with angles of 90.00, 109.47 and 90.00 degrees. The inequivalent atoms are Ca at (0.000, 0.000, 0.000), Ca at (0.000, 0.168, 0.500), Ca at (0.000, 0.336, 0.000), Te at (0.245, 0.000, 0.752), Te at (0.246, 0.169, 0.247) and Pb at (0.000, 0.500, 0.500).

Its total energy is -4.15 eV/atom. The calculation puts the density of states at the Fermi level at 0.00 states/eV per atom. The value obtained for the formation energy without anion corrections is -1.43 eV/atom.

=====

Please write out number 2 again, unchanged.
Density functional theory data (GGA-PBE) for a geometry-optimized Ca5Te6Pb structure.

The space group is C2/m (No. 12) and the conventional cell measures 7.877, 13.644 and 7.874 Å, with angles of 90.00, 109.47 and 90.00 degrees. The inequivalent atoms are Ca at (0.000, 0.000, 0.000), Ca at (0.000, 0.168, 0.500), Ca at (0.000, 0.336, 0.000), Te at (0.245, 0.000, 0.752), Te at (0.246, 0.169, 0.247) and Pb at (0.000, 0.500, 0.500).

Its total energy is -4.15 eV/atom. The calculation puts the density of states at the Fermi level at 0.00 states/eV per atom. The value obtained for the formation energy without anion corrections is -1.43 eV/atom.